Record 1
DFT (GGA-PBE) results for CaZnSi2Pd after structural relaxation.

For the total magnetization, the calculation gives 0.00 μB per formula unit. As for the density of states at the Fermi level: 2.512 states/eV per cell. For the calculated total energy, the calculation gives -22.2 eV/cell. Its formation energy (no corrections) is -0.571 eV per atom. The crystal system is tetragonal.

Lattice parameters (Å, degrees): 4.1264 4.1264 5.9471 110.30 110.30 90.00
Fractional positions:
Si1 0.3872 0.3872 0.7745
Si2 0.6128 0.6128 0.2255
Zn1 0.2500 0.7500 0.5000
Pd1 0.7500 0.2500 0.5000
Ca1 0.0000 0.0000 0.0000

=====

Record 2
DFT (GGA-PBE) results for CaSmPd2 after structural relaxation.

For the total magnetization, the calculation gives 0.00 μB per formula unit. The calculation puts the polymorph energy (0 for the lowest one) at 0.027 eV/atom. As for the density of states at the Fermi level: 2.605 states/eV per cell. For the calculated total energy, the calculation gives -20.1 eV/cell. For the calculated formation energy, the calculation gives -0.75 eV per atom. The crystal system is cubic.

Lattice parameters (Å, degrees): 5.0180 5.0180 5.0180 60.00 60.00 60.00
Fractional positions:
Pd1 0.2500 0.2500 0.2500
Pd2 0.7500 0.7500 0.7500
Ca1 0.5000 0.5000 0.5000
Sm1 0.0000 0.0000 0.0000

=====

Record 3
DFT (GGA-PBE) results for CaSm2Pd after structural relaxation.

For the total magnetization, the calculation gives 0.00 μB per formula unit. The calculation puts the polymorph energy (0 for the lowest one) at 0.130 eV/atom. As for the density of states at the Fermi level: 5.091 states/eV per cell. For the calculated total energy, the calculation gives -17.7 eV/cell. For the calculated formation energy, the calculation gives -0.27 eV per atom. The crystal system is trigonal.

Lattice parameters (Å, degrees): 4.1342 4.1342 9.6415 77.62 77.62 60.00
Fractional positions:
Sm1 0.0558 0.0558 0.8326
Sm2 0.2770 0.2770 0.1690
Pd1 0.6660 0.6660 0.0019
Ca1 0.5012 0.5012 0.4965

=====

Record 4
DFT (GGA-PBE) results for Ca2SmPd4 after structural relaxation.

For the total magnetization, the calculation gives 0.00 μB per formula unit. As for the density of states at the Fermi level: 2.257 states/eV per cell. For the calculated total energy, the calculation gives -33.5 eV/cell. For the calculated formation energy, the calculation gives -0.57 eV per atom. The crystal system is tetragonal.

Lattice parameters (Å, degrees): 5.4031 5.4031 6.7006 113.79 113.79 89.98
Fractional positions:
Pd1 0.1251 0.6251 0.2503
Pd2 0.3749 0.8749 0.7497
Pd3 0.8749 0.3749 0.7497
Pd4 0.6251 0.1251 0.2503
Sm1 0.0000 0.0000 0.0000
Ca1 0.3206 0.3206 0.6411
Ca2 0.6794 0.6794 0.3589

=====

Record 5
DFT (GGA-PBE) results for CaSm2Pd after structural relaxation.

For the total magnetization, the calculation gives 0.00 μB per formula unit. The calculation puts the polymorph energy (0 for the lowest one) at 0.000 eV/atom. As for the density of states at the Fermi level: 15.163 states/eV per cell. For the calculated total energy, the calculation gives -73.0 eV/cell. For the calculated formation energy, the calculation gives -0.40 eV per atom. The crystal system is orthorhombic.

Lattice parameters (Å, degrees): 6.4876 7.4006 9.9695 90.00 90.00 90.00
Fractional positions:
Sm1 0.3318 0.1774 0.0604
Sm2 0.1682 0.6774 0.0604
Sm3 0.8318 0.3226 0.9396
Sm4 0.6682 0.8226 0.9396
Sm5 0.3318 0.1774 0.4396
Sm6 0.1682 0.6774 0.4396
Sm7 0.8318 0.3226 0.5604
Sm8 0.6682 0.8226 0.5604
Ca1 0.8646 0.0312 0.2500
Ca2 0.1354 0.9688 0.7500
Ca3 0.6354 0.5312 0.2500
Ca4 0.3646 0.4688 0.7500
Pd1 0.4177 0.8885 0.2500
Pd2 0.5823 0.1115 0.7500
Pd3 0.0823 0.3885 0.2500
Pd4 0.9177 0.6115 0.7500

=====

Record 6
DFT (GGA-PBE) results for CaSmPd10 after structural relaxation.

For the total magnetization, the calculation gives 0.00 μB per formula unit. As for the density of states at the Fermi level: 13.118 states/eV per cell. For the calculated total energy, the calculation gives -63.9 eV/cell. For the calculated formation energy, the calculation gives -0.44 eV per atom. The crystal system is orthorhombic.

Lattice parameters (Å, degrees): 4.4900 5.3318 9.2418 90.00 90.00 90.00
Fractional positions:
Pd1 0.0000 0.5000 0.1685
Pd2 0.0000 0.0000 0.6651
Pd3 0.0000 0.0000 0.3349
Pd4 0.5000 0.7488 0.2519
Pd5 0.0000 0.5000 0.8315
Pd6 0.5000 0.7488 0.7481
Pd7 0.5000 0.2512 0.2519
Pd8 0.5000 0.2512 0.7481
Pd9 0.5000 0.5000 0.0000
Pd10 0.5000 0.0000 0.5000
Ca1 0.0000 0.0000 0.0000
Sm1 0.0000 0.5000 0.5000

=====

Record 7
DFT (GGA-PBE) results for CaSm3Pd3 after structural relaxation.

For the total magnetization, the calculation gives 0.00 μB per formula unit. As for the density of states at the Fermi level: 11.094 states/eV per cell. For the calculated total energy, the calculation gives -72.0 eV/cell. For the calculated formation energy, the calculation gives -0.61 eV per atom. The crystal system is monoclinic.

Lattice parameters (Å, degrees): 7.0999 7.0999 7.2297 91.08 91.08 97.61
Fractional positions:
Sm1 0.6578 0.6578 0.3741
Sm2 0.7531 0.2469 0.0000
Sm3 0.1779 0.8221 0.5000
Sm4 0.2469 0.7531 0.0000
Sm5 0.3422 0.3422 0.6259
Sm6 0.8221 0.1779 0.5000
Ca1 0.2636 0.2636 0.1220
Ca2 0.7365 0.7365 0.8780
Pd1 0.5067 0.0046 0.2755
Pd2 0.0046 0.5067 0.2755
Pd3 0.9954 0.4933 0.7245
Pd4 0.9379 0.9379 0.1957
Pd5 0.0621 0.0621 0.8043
Pd6 0.4933 0.9954 0.7245

=====

Record 8
DFT (GGA-PBE) results for CaSm2Pd after structural relaxation.

For the total magnetization, the calculation gives 0.00 μB per formula unit. The calculation puts the polymorph energy (0 for the lowest one) at 0.019 eV/atom. As for the density of states at the Fermi level: 10.107 states/eV per cell. For the calculated total energy, the calculation gives -36.3 eV/cell. For the calculated formation energy, the calculation gives -0.38 eV per atom. The crystal system is orthorhombic.

Lattice parameters (Å, degrees): 4.0340 6.5103 9.5528 90.00 90.00 108.02
Fractional positions:
Ca1 0.0682 0.1363 0.7500
Ca2 0.9318 0.8637 0.2500
Sm1 0.3579 0.7156 0.5594
Sm2 0.3579 0.7156 0.9406
Sm3 0.6421 0.2844 0.4406
Sm4 0.6421 0.2844 0.0594
Pd1 0.2325 0.4654 0.2500
Pd2 0.7675 0.5346 0.7500

=====

Record 9
DFT (GGA-PBE) results for CaSm3Pd after structural relaxation.

For the total magnetization, the calculation gives 0.97 μB per formula unit. The calculation puts the polymorph energy (0 for the lowest one) at 0.054 eV/atom. As for the density of states at the Fermi level: 9.870 states/eV per cell. For the calculated total energy, the calculation gives -22.0 eV/cell. For the calculated formation energy, the calculation gives -0.13 eV per atom. The crystal system is cubic.

Lattice parameters (Å, degrees): 5.6407 5.6407 5.6407 90.00 90.00 90.00
Last column: magnetic moment on the atom in μB.
Fractional positions:
Sm1 0.0000 0.0000 0.5000  0.11
Sm2 0.5000 0.0000 0.0000  0.11
Sm3 0.0000 0.5000 0.0000  0.11
Ca1 0.5000 0.5000 0.5000  0.03
Pd1 0.0000 0.0000 0.0000  0.02

=====

Record 10
DFT (GGA-PBE) results for CaSmPd4 after structural relaxation.

For the total magnetization, the calculation gives 0.00 μB per formula unit. As for the density of states at the Fermi level: 6.384 states/eV per cell. For the calculated total energy, the calculation gives -31.9 eV/cell. For the calculated formation energy, the calculation gives -0.74 eV per atom. The crystal system is cubic.

Lattice parameters (Å, degrees): 5.4779 5.4779 5.4779 60.00 60.00 60.00
Fractional positions:
Pd1 0.6249 0.1254 0.6249
Pd2 0.6249 0.6249 0.1254
Pd3 0.1254 0.6249 0.6249
Pd4 0.6249 0.6249 0.6249
Sm1 0.0000 0.0000 0.0000
Ca1 0.2500 0.2500 0.2500

=====

Record 11
DFT (GGA-PBE) results for CaSm3Pd after structural relaxation.

For the total magnetization, the calculation gives 0.82 μB per formula unit. The calculation puts the polymorph energy (0 for the lowest one) at 0.000 eV/atom. As for the density of states at the Fermi level: 10.866 states/eV per cell. For the calculated total energy, the calculation gives -44.5 eV/cell. For the calculated formation energy, the calculation gives -0.18 eV per atom. The crystal system is hexagonal.

Lattice parameters (Å, degrees): 6.2093 7.8480 7.8480 120.00 90.00 90.00
Last column: magnetic moment on the atom in μB.
Fractional positions:
Pd1 0.5000 0.0000 0.0000  0.02
Pd2 0.0000 0.0000 0.0000  0.02
Sm1 0.7500 0.6431 0.8216  0.10
Sm2 0.2500 0.3569 0.1784  0.10
Sm3 0.7500 0.1785 0.8216  0.10
Sm4 0.7500 0.1785 0.3569  0.10
Sm5 0.2500 0.8215 0.6431  0.10
Sm6 0.2500 0.8215 0.1784  0.10
Ca1 0.7499 0.6667 0.3334  0.03
Ca2 0.2501 0.3333 0.6666  0.03

=====

Record 12
DFT (GGA-PBE) results for CaSm5Pd6 after structural relaxation.

For the total magnetization, the calculation gives 0.00 μB per formula unit. As for the density of states at the Fermi level: 7.455 states/eV per cell. For the calculated total energy, the calculation gives -66.2 eV/cell. For the calculated formation energy, the calculation gives -0.79 eV per atom. The crystal system is monoclinic.

Lattice parameters (Å, degrees): 5.0677 8.7513 8.7513 119.93 106.86 106.86
Fractional positions:
Ca1 0.0000 0.0000 0.0000
Pd1 0.7674 0.2671 0.2671
Pd2 0.7405 0.9134 0.5685
Pd3 0.2595 0.4315 0.0866
Pd4 0.2595 0.0866 0.4315
Pd5 0.2326 0.7329 0.7329
Pd6 0.7405 0.5685 0.9134
Sm1 0.5000 0.8393 0.1607
Sm2 0.0000 0.6685 0.3315
Sm3 0.5000 0.5000 0.5000
Sm4 0.5000 0.1607 0.8393
Sm5 0.0000 0.3315 0.6685